[1]
VASP calculation (PBE) on a relaxed CuOs2Pt crystal.

Calculated values
polymorph energy (0 for the lowest one): 0.174 eV/atom
E_tot: -0.290 hartree per atom
ΔH_f (0 K): 0.2616 eV per atom

Unit cell a=9.017 b=9.017 c=9.017 alpha=17.34 beta=17.34 gamma=17.34
Positions (direct):
Os1 0.003 0.003 0.003
Pt1 0.250 0.250 0.250
Cu1 0.750 0.750 0.750
Os2 0.497 0.497 0.497

***

[2]
VASP calculation (PBE) on a relaxed KZrZn2 crystal.

Calculated values
polymorph energy (0 for the lowest one): 0.228 eV/atom
E_tot: -0.101 hartree per atom
ΔH_f (0 K): 0.3011 eV per atom

Unit cell a=6.486 b=6.486 c=6.486 alpha=154.15 beta=130.66 gamma=56.53
Positions (direct):
K1 0.234 0.734 0.500
Zn1 0.766 0.266 0.500
Zn2 0.964 0.964 0.000
Zr1 0.536 0.536 0.000

***

[3]
VASP calculation (PBE) on a relaxed Tc2Ir3Ru crystal.

Calculated values
E_tot: -0.328 hartree per atom
ΔH_f (0 K): 0.5062 eV per atom

Unit cell a=4.686 b=6.519 c=6.519 alpha=96.08 beta=90.00 gamma=90.00
Positions (direct):
Tc1 0.457 0.806 0.344
Ir1 0.949 0.565 0.826
Ir2 0.449 0.174 0.435
Tc2 0.957 0.656 0.194
Ru1 0.684 0.034 0.034
Ru2 0.184 0.966 0.966
Tc3 0.957 0.194 0.656
Ir3 0.949 0.826 0.565
Ir4 0.963 0.281 0.281
Ir5 0.463 0.719 0.719
Ir6 0.449 0.435 0.174
Tc4 0.457 0.344 0.806

***

[4]
VASP calculation (PBE) on a relaxed Pr2NdHo crystal.

Calculated values
polymorph energy (0 for the lowest one): 0.089 eV/atom
E_tot: -0.170 hartree per atom
ΔH_f (0 K): 0.1034 eV per atom

Unit cell a=4.274 b=4.274 c=7.598 alpha=90.00 beta=90.00 gamma=90.00
Positions (direct):
Pr1 0.000 0.000 0.760
Ho1 0.500 0.500 0.000
Pr2 0.000 0.000 0.240
Nd1 0.500 0.500 0.500

***

[5]
VASP calculation (PBE) on a relaxed SrMg2Ni crystal.

Calculated values
E_tot: -0.087 hartree per atom
ΔH_f (0 K): 0.2959 eV per atom

Unit cell a=5.417 b=5.417 c=9.240 alpha=72.96 beta=72.96 gamma=90.00
Positions (direct):
Mg1 0.375 0.624 0.750
Sr1 0.000 0.000 0.000
Mg2 0.374 0.625 0.250
Mg3 0.376 0.125 0.250
Mg4 0.875 0.626 0.750
Ni1 0.250 0.750 0.500
Ni2 0.500 0.500 0.000
Sr2 0.750 0.250 0.500

***

[6]
VASP calculation (PBE) on a relaxed AlWBr3 crystal.

Calculated values
polymorph energy (0 for the lowest one): 0.415 eV/atom
E_tot: -0.129 hartree per atom
E_form (uncorrected): 0.84 eV/atom

Unit cell a=5.183 b=5.183 c=5.183 alpha=90.00 beta=90.00 gamma=90.00
Positions (direct):
W1 0.500 0.500 0.500
Br1 0.000 0.000 0.500
Br2 0.000 0.500 0.000
Br3 0.500 0.000 0.000
Al1 0.000 0.000 0.000